1.
Density functional theory data (PBE) for crystalline LaMg2Fe at its relaxed geometry.

Unit cell a=12.425 b=3.240 c=4.898 alpha=90.00 beta=113.15 gamma=90.00
Space group C2/m (No. 12)
Unique sites:
La 0.000 0.000 0.000 x2
Mg 0.204 0.000 0.704 x4
Fe 0.000 0.500 0.500 x2

Results
**Total energy**: -31.96 eV per cell
**V**: 22.66 A^3/atom
**ρ**: 4.5 g cm⁻³

2.
Density functional theory data (PBE) for crystalline ErMg2NpO8 at its relaxed geometry.

Unit cell a=4.756 b=6.795 c=4.778 alpha=90.00 beta=90.29 gamma=90.00
Space group P2/m (No. 10)
Unique sites:
Er 0.000 0.000 0.000 x1
Mg 0.500 0.260 0.500 x2
Np 0.000 0.500 0.000 x1
O 0.211 0.270 0.824 x4
O 0.279 0.500 0.308 x2
O 0.299 0.000 0.364 x2

Results
**Formation energy from raw total energies**: -2423 meV per atom
**V**: 12.87 A^3/atom
**ρ**: 6.2 g cm⁻³

3.
Density functional theory data (PBE) for crystalline TiHg2Cl8 at its relaxed geometry.

Unit cell a=13.027 b=9.176 c=6.295 alpha=90.00 beta=96.48 gamma=90.00
Space group C2/m (No. 12)
Unique sites:
Ti 0.000 0.000 0.000 x2
Hg 0.215 0.000 0.727 x4
Cl 0.071 0.185 0.790 x8
Cl 0.111 0.500 0.321 x4
Cl 0.152 0.000 0.230 x4

Results
**Energy relative to the lowest polymorph listed for this composition**: 22 meV/atom
**Formation energy from raw total energies**: -939 meV per atom
**V**: 33.99 A^3/atom
**ρ**: 3.3 g cm⁻³

4.
Density functional theory data (PBE) for crystalline InPOsS2 at its relaxed geometry.

Unit cell a=4.852 b=4.852 c=4.489 alpha=90.00 beta=90.00 gamma=90.00
Space group P4/mmm (No. 123)
Unique sites:
In 0.000 0.000 0.000 x1
P 0.500 0.500 0.000 x1
Os 0.500 0.500 0.500 x1
S 0.000 0.500 0.500 x2

Results
**Energy relative to the lowest polymorph listed for this composition**: 0 meV/atom
**Formation energy from raw total energies**: 401 meV per atom
**V**: 21.13 A^3/atom
**ρ**: 6.3 g cm⁻³

5.
Density functional theory data (PBE) for crystalline Np3Ti2NbN6 at its relaxed geometry.

Unit cell a=5.562 b=9.628 c=5.696 alpha=90.00 beta=108.96 gamma=90.00
Space group C2/m (No. 12)
Unique sites:
Np 0.000 0.000 0.000 x2
Np 0.000 0.334 0.000 x4
Ti 0.000 0.167 0.500 x4
Nb 0.000 0.500 0.500 x2
N 0.231 0.000 0.719 x4
N 0.244 0.329 0.721 x8

Results
**Formation energy from raw total energies**: -1296 meV per atom
**V**: 12.02 A^3/atom
**ρ**: 11.3 g cm⁻³

6.
Density functional theory data (PBE) for crystalline BaCaIr2 at its relaxed geometry.

Unit cell a=4.560 b=4.731 c=10.681 alpha=90.00 beta=90.00 gamma=90.00
Space group Amm2 (No. 38)
Unique sites:
Ba 0.000 0.000 0.000 x2
Ca 0.500 0.000 0.286 x2
Ir 0.000 0.000 0.699 x2
Ir 0.500 0.000 0.623 x2

Results
**Energy relative to the lowest polymorph listed for this composition**: 35 meV/atom
**V**: 28.80 A^3/atom
**ρ**: 8.1 g cm⁻³

7.
Density functional theory data (PBE) for crystalline Ta2AsPb at its relaxed geometry.

Unit cell a=6.845 b=6.845 c=6.845 alpha=90.00 beta=90.00 gamma=90.00
Space group F-43m (No. 216)
Unique sites:
Ta 0.000 0.000 0.000 x4
Ta 0.250 0.250 0.250 x4
As 0.250 0.250 0.750 x4
Pb 0.000 0.000 0.500 x4

Results
**Energy relative to the lowest polymorph listed for this composition**: 620 meV/atom
**V**: 20.05 A^3/atom
**ρ**: 13.3 g cm⁻³

8.
Density functional theory data (PBE) for crystalline K2TaMo at its relaxed geometry.

Unit cell a=3.170 b=4.621 c=6.448 alpha=90.00 beta=90.00 gamma=90.00
Space group Pmmm (No. 47)
Unique sites:
K 0.000 0.000 0.000 x1
K 0.500 0.500 0.000 x1
Ta 0.000 0.500 0.500 x1
Mo 0.500 0.000 0.500 x1

Results
**Energy relative to the lowest polymorph listed for this composition**: 574 meV/atom
**V**: 23.62 A^3/atom
**ρ**: 6.2 g cm⁻³

9.
Density functional theory data (PBE) for crystalline RbSnGeO5 at its relaxed geometry.

Unit cell a=7.379 b=9.826 c=7.694 alpha=90.00 beta=116.72 gamma=90.00
Space group C2/c (No. 15)
Unique sites:
Rb 0.000 0.163 0.250 x4
Sn 0.000 0.500 0.000 x4
Ge 0.000 0.202 0.750 x4
O 0.000 0.437 0.250 x4
O 0.084 0.301 0.608 x8
O 0.197 0.086 0.898 x8

Results
**Formation energy from raw total energies**: -1400 meV per atom
**V**: 15.57 A^3/atom
**ρ**: 4.8 g cm⁻³

10.
Density functional theory data (PBE) for crystalline ZrCdCo at its relaxed geometry.

Unit cell a=3.301 b=3.301 c=9.902 alpha=90.00 beta=90.00 gamma=90.00
Space group I4mm (No. 107)
Unique sites:
Zr 0.000 0.000 0.000 x2
Cd 0.000 0.000 0.706 x2
Co 0.000 0.000 0.376 x2

Results
**Energy relative to the lowest polymorph listed for this composition**: 175 meV/atom
**V**: 17.98 A^3/atom
**ρ**: 8.1 g cm⁻³

11.
Density functional theory data (PBE) for crystalline InMo2Pt at its relaxed geometry.

Unit cell a=2.812 b=2.812 c=8.495 alpha=90.00 beta=90.00 gamma=90.00
Space group P4/mmm (No. 123)
Unique sites:
In 0.000 0.000 0.000 x1
Mo 0.500 0.500 0.264 x2
Pt 0.000 0.000 0.500 x1

Results
**Total energy**: -30.01 eV per cell
**V**: 16.80 A^3/atom
**ρ**: 12.4 g cm⁻³

12.
Density functional theory data (PBE) for crystalline TbPuSN at its relaxed geometry.

Unit cell a=3.6596 b=3.6596 c=18.8409 alpha=90.00 beta=90.00 gamma=120.00
Space group R3m (No. 160, hexagonal axes)
Unique sites:
Tb 0.0000 0.0000 0.0000 x3
Pu 0.0000 0.0000 0.5247 x3
S 0.0000 0.0000 0.7618 x3
N 0.0000 0.0000 0.2622 x3

Results
**Formation energy from raw total energies**: -1648 meV per atom
**V**: 18.21 A^3/atom
**ρ**: 10.2 g cm⁻³

13.
Density functional theory data (PBE) for crystalline AlH3I at its relaxed geometry.

Unit cell a=4.166 b=4.166 c=4.166 alpha=90.00 beta=90.00 gamma=90.00
Space group Pm-3m (No. 221)
Unique sites:
Al 0.000 0.000 0.000 x1
H 0.000 0.500 0.500 x3
I 0.500 0.500 0.500 x1

Results
**Energy relative to the lowest polymorph listed for this composition**: 950 meV/atom
**V**: 14.47 A^3/atom
**ρ**: 3.6 g cm⁻³

14.
Density functional theory data (PBE) for crystalline NaCa2TlPd at its relaxed geometry.

Unit cell a=5.579 b=5.579 c=5.348 alpha=90.00 beta=90.00 gamma=90.00
Space group P4/mmm (No. 123)
Unique sites:
Na 0.000 0.000 0.000 x1
Ca 0.000 0.500 0.500 x2
Tl 0.500 0.500 0.000 x1
Pd 0.500 0.500 0.500 x1

Results
**Energy relative to the lowest polymorph listed for this composition**: 0 meV/atom
**V**: 33.29 A^3/atom
**ρ**: 4.1 g cm⁻³

15.
Density functional theory data (PBE) for crystalline Dy2MnRh at its relaxed geometry.

Unit cell a=3.4614 b=3.4614 c=29.1719 alpha=90.00 beta=90.00 gamma=120.00
Space group R-3m (No. 166, hexagonal axes)
Unique sites:
Dy 0.0000 0.0000 0.1015 x6
Mn 0.0000 0.0000 0.0000 x3
Rh 0.0000 0.0000 0.5000 x3

Results
**Total energy**: -74.50 eV per cell
**V**: 25.22 A^3/atom
**ρ**: 7.9 g cm⁻³

16.
Density functional theory data (PBE) for crystalline CeNd6S8 at its relaxed geometry.

Unit cell a=12.2021 b=12.2021 c=12.1142 alpha=90.00 beta=90.00 gamma=120.00
Space group R-3 (No. 148, hexagonal axes)
Unique sites:
Ce 0.0000 0.0000 0.0000 x3
Nd 0.0100 0.8174 0.6345 x18
S 0.0000 0.0000 0.2260 x6
S 0.0104 0.7540 0.4125 x18

Results
**Energy relative to the lowest polymorph listed for this composition**: 395 meV/atom
**Formation energy from raw total energies**: -1630 meV per atom
**V**: 34.71 A^3/atom
**ρ**: 4.0 g cm⁻³

17.
Density functional theory data (PBE) for crystalline Cu2PHO5 at its relaxed geometry.

Unit cell a=8.112 b=8.526 c=5.984 alpha=90.00 beta=90.00 gamma=90.00
Space group Pnnm (No. 58)
Unique sites:
Cu 0.000 0.000 0.249 x4
Cu 0.139 0.369 0.000 x4
P 0.233 0.755 0.000 x4
H 0.072 0.792 0.500 x4
O 0.102 0.619 0.000 x4
O 0.123 0.897 0.500 x4
O 0.136 0.916 0.000 x4
O 0.157 0.243 0.291 x8

Results
**Total energy**: -212.80 eV per cell
**V**: 11.50 A^3/atom
**ρ**: 3.8 g cm⁻³

18.
Density functional theory data (PBE) for crystalline SmRh3 at its relaxed geometry.

Unit cell a=4.130 b=4.130 c=8.075 alpha=90.00 beta=90.00 gamma=90.00
Space group I4/mmm (No. 139)
Unique sites:
Sm 0.000 0.000 0.000 x2
Rh 0.000 0.000 0.500 x2
Rh 0.000 0.500 0.250 x4

Results
**Total energy**: -56.00 eV per cell
**V**: 17.22 A^3/atom
**ρ**: 11.1 g cm⁻³

19.
Density functional theory data (PBE) for crystalline GaNi2 at its relaxed geometry.

Unit cell a=2.884 b=2.884 c=8.542 alpha=90.00 beta=90.00 gamma=90.00
Space group I4/mmm (No. 139)
Unique sites:
Ga 0.000 0.000 0.000 x2
Ni 0.000 0.000 0.337 x4

Results
**Total energy**: -30.76 eV per cell
**V**: 11.84 A^3/atom
**ρ**: 8.7 g cm⁻³

20.
Density functional theory data (PBE) for crystalline HoGePt at its relaxed geometry.

Unit cell a=3.805 b=3.805 c=8.581 alpha=90.00 beta=90.00 gamma=90.00
Space group I4mm (No. 107)
Unique sites:
Ho 0.000 0.000 0.000 x2
Ge 0.000 0.000 0.328 x2
Pt 0.000 0.000 0.638 x2

Results
**Total energy**: -34.56 eV per cell
**V**: 20.71 A^3/atom
**ρ**: 11.6 g cm⁻³

21.
Density functional theory data (PBE) for crystalline CaAc3Pd at its relaxed geometry.

Unit cell a=6.016 b=6.016 c=6.016 alpha=90.00 beta=90.00 gamma=90.00
Space group Pm-3m (No. 221)
Unique sites:
Ca 0.000 0.000 0.000 x1
Ac 0.000 0.500 0.500 x3
Pd 0.500 0.500 0.500 x1

Results
**Energy relative to the lowest polymorph listed for this composition**: 42 meV/atom
**V**: 43.54 A^3/atom
**ρ**: 6.3 g cm⁻³

22.
Density functional theory data (PBE) for crystalline SrCl3 at its relaxed geometry.

Unit cell a=4.480 b=4.480 c=22.009 alpha=90.00 beta=90.00 gamma=90.00
Space group I-42d (No. 122)
Unique sites:
Sr 0.000 0.000 0.000 x4
Cl 0.000 0.000 0.500 x4
Cl 0.198 0.250 0.125 x8

Results
**Formation energy from raw total energies**: -1456 meV per atom
**V**: 27.61 A^3/atom
**ρ**: 2.9 g cm⁻³

23.
Density functional theory data (PBE) for crystalline FeHI2 at its relaxed geometry.

Unit cell a=6.620 b=6.620 c=6.620 alpha=90.00 beta=90.00 gamma=90.00
Space group Fm-3m (No. 225)
Unique sites:
Fe 0.000 0.000 0.000 x4
H 0.000 0.000 0.500 x4
I 0.250 0.250 0.250 x8

Results
**Total energy**: -41.63 eV per cell
**V**: 18.13 A^3/atom
**ρ**: 7.1 g cm⁻³

24.
Density functional theory data (PBE) for crystalline PmHoGaAu at its relaxed geometry.

Unit cell a=4.567 b=3.843 c=11.304 alpha=90.00 beta=90.00 gamma=90.00
Space group Amm2 (No. 38)
Unique sites:
Pm 0.000 0.000 0.000 x2
Ho 0.500 0.000 0.714 x2
Ga 0.000 0.000 0.270 x2
Au 0.500 0.000 0.428 x2

Results
**Energy relative to the lowest polymorph listed for this composition**: 0 meV/atom
**V**: 24.80 A^3/atom
**ρ**: 9.7 g cm⁻³

25.
Density functional theory data (PBE) for crystalline CdGaSbTe2 at its relaxed geometry.

Unit cell a=5.738 b=5.738 c=5.429 alpha=90.00 beta=90.00 gamma=90.00
Space group P4/mmm (No. 123)
Unique sites:
Cd 0.000 0.000 0.000 x1
Ga 0.500 0.500 0.500 x1
Sb 0.000 0.000 0.500 x1
Te 0.000 0.500 0.000 x2

Results
**Energy relative to the lowest polymorph listed for this composition**: 89 meV/atom
**Formation energy from raw total energies**: 497 meV per atom
**V**: 35.75 A^3/atom
**ρ**: 5.2 g cm⁻³